! MgH4Ir, relaxed, DFT PBE-GGA; values from VASP
! uncorrected energy	-24.98	eV per formula unit
! space group	P2_1/c
! density of states at the Fermi level	1.4	states/eV/cell
&SYSTEM
  ibrav = 0, nat = 12, ntyp = 3
/
ATOMIC_SPECIES
Mg 24.30 Mg.upf
H 1.01 H.upf
Ir 192.22 Ir.upf
ATOMIC_POSITIONS crystal
Mg 0.0000 0.0000 0.0000
Mg 0.0000 0.5000 0.5000
H 0.1067 0.0628 0.3814
H 0.1067 0.4372 0.8814
H 0.4561 0.7400 0.2411
H 0.4561 0.7600 0.7411
H 0.5439 0.2400 0.2589
H 0.5439 0.2600 0.7589
H 0.8933 0.5628 0.1186
H 0.8933 0.9372 0.6186
Ir 0.5000 0.0000 0.5000
Ir 0.5000 0.5000 0.0000
CELL_PARAMETERS angstrom
4.6174 0.0000 0.0000
0.0000 4.3709 0.0000
-2.3514 0.0000 5.0388